Entry 1:
# Pm2Dy7Er | Alexandria | PBE-GGA | relaxed
# * Fermi-level density of states: 15.44 states/eV/f.u.
# * ΔH_f (0 K): 0.157 eV/atom
data_Pm2Dy7Er
_symmetry_space_group_name_H-M 'C m m m'
_symmetry_Int_Tables_number 65
_symmetry_space_group_name_Hall '-C 2 2'
_cell_length_a 6.492
_cell_length_b 28.774
_cell_length_c 3.505
_cell_angle_alpha 90.00
_cell_angle_beta 90.00
_cell_angle_gamma 90.00
loop_
_atom_site_label
_atom_site_fract_x
_atom_site_fract_y
_atom_site_fract_z
Pm1 0.000 0.208 0.000
Dy1 0.000 0.000 0.000
Dy2 0.000 0.315 0.500
Dy3 0.246 0.402 0.000
Er1 0.000 0.500 0.500

***

Entry 2:
# Cs2ScNi | Alexandria | PBE-GGA | relaxed
# * Fermi-level density of states: 4.44 states/eV/f.u.
# * ΔH_f (0 K): 1.215 eV/atom
# * energy relative to the lowest polymorph listed for this composition: 57.8 kJ/mol of atoms
data_Cs2ScNi
_symmetry_space_group_name_H-M 'F m -3 m'
_symmetry_Int_Tables_number 225
_symmetry_space_group_name_Hall '-F 4 2 3'
_cell_length_a 8.821
_cell_length_b 8.821
_cell_length_c 8.821
_cell_angle_alpha 90.00
_cell_angle_beta 90.00
_cell_angle_gamma 90.00
loop_
_atom_site_label
_atom_site_fract_x
_atom_site_fract_y
_atom_site_fract_z
Cs1 0.250 0.250 0.250
Sc1 0.000 0.000 0.000
Ni1 0.000 0.000 0.500

***

Entry 3:
# CrHI | Alexandria | PBE-GGA | relaxed
# * Fermi-level density of states: 0.64 states/eV/f.u.
# * E_tot: -27.1 eV for the cell shown
data_CrHI
_symmetry_space_group_name_H-M 'P 1 21/m 1'
_symmetry_Int_Tables_number 11
_symmetry_space_group_name_Hall '-P 2yb'
_cell_length_a 4.646
_cell_length_b 5.879
_cell_length_c 4.657
_cell_angle_alpha 90.00
_cell_angle_beta 105.46
_cell_angle_gamma 90.00
loop_
_atom_site_label
_atom_site_fract_x
_atom_site_fract_y
_atom_site_fract_z
Cr1 0.185 0.250 0.314
H1 0.407 0.250 0.093
I1 0.205 0.750 0.295

***

Entry 4:
# PaZnNi6 | Alexandria | PBE-GGA | relaxed
# * Fermi-level density of states: 5.61 states/eV/f.u.
# * ΔH_f (0 K): -0.311 eV/atom
# * energy relative to the lowest polymorph listed for this composition: 0.0 kJ/mol of atoms
data_PaZnNi6
_symmetry_space_group_name_H-M 'C m m m'
_symmetry_Int_Tables_number 65
_symmetry_space_group_name_Hall '-C 2 2'
_cell_length_a 7.414
_cell_length_b 10.517
_cell_length_c 10.564
_cell_angle_alpha 90.00
_cell_angle_beta 90.00
_cell_angle_gamma 90.00
loop_
_atom_site_label
_atom_site_fract_x
_atom_site_fract_y
_atom_site_fract_z
Pa1 0.000 0.000 0.235
Pa2 0.000 0.251 0.500
Zn1 0.000 0.242 0.000
Zn2 0.000 0.500 0.242
Ni1 0.000 0.000 0.000
Ni2 0.000 0.000 0.500
Ni3 0.000 0.253 0.244
Ni4 0.000 0.500 0.000
Ni5 0.000 0.500 0.500
Ni6 0.241 0.372 0.121
Ni7 0.246 0.377 0.370

***

Entry 5:
# MnIn5Br2Cl4 | Alexandria | PBE-GGA | relaxed
# * Fermi-level density of states: 2.68 states/eV/f.u.
# * uncorrected formation energy: -685 meV per atom
data_MnIn5Br2Cl4
_symmetry_space_group_name_H-M 'A m m 2'
_symmetry_Int_Tables_number 38
_symmetry_space_group_name_Hall 'A 2 -2'
_cell_length_a 10.196
_cell_length_b 13.607
_cell_length_c 6.093
_cell_angle_alpha 90.00
_cell_angle_beta 90.00
_cell_angle_gamma 90.00
loop_
_atom_site_label
_atom_site_fract_x
_atom_site_fract_y
_atom_site_fract_z
Mn1 0.000 0.000 0.000
In1 0.248 0.240 0.309
In2 0.500 0.000 0.163
Br1 0.500 0.141 0.778
Cl1 0.000 0.142 0.774
Cl2 0.191 0.000 0.215

***

Entry 6:
# Cs3TcCl6 | Alexandria | PBE-GGA | relaxed
# * Fermi-level density of states: 6.83 states/eV/f.u.
# * uncorrected formation energy: -1447 meV per atom
# * energy relative to the lowest polymorph listed for this composition: 0.0 kJ/mol of atoms
data_Cs3TcCl6
_symmetry_space_group_name_H-M 'P 1 21/c 1'
_symmetry_Int_Tables_number 14
_symmetry_space_group_name_Hall '-P 2ybc'
_cell_length_a 7.872
_cell_length_b 8.111
_cell_length_c 13.655
_cell_angle_alpha 90.00
_cell_angle_beta 123.94
_cell_angle_gamma 90.00
loop_
_atom_site_label
_atom_site_fract_x
_atom_site_fract_y
_atom_site_fract_z
Cs1 0.000 0.000 0.000
Cs2 0.271 0.057 0.755
Tc1 0.500 0.000 0.500
Cl1 0.221 0.016 0.293
Cl2 0.288 0.666 0.039
Cl3 0.380 0.250 0.041

***

Entry 7:
# HoBeSiPt3 | Alexandria | PBE-GGA | relaxed
# * Fermi-level density of states: 2.28 states/eV/f.u.
# * uncorrected formation energy: -855 meV per atom
data_HoBeSiPt3
_symmetry_space_group_name_H-M 'C m c m'
_symmetry_Int_Tables_number 63
_symmetry_space_group_name_Hall '-C 2c 2'
_cell_length_a 6.410
_cell_length_b 11.554
_cell_length_c 5.505
_cell_angle_alpha 90.00
_cell_angle_beta 90.00
_cell_angle_gamma 90.00
loop_
_atom_site_label
_atom_site_fract_x
_atom_site_fract_y
_atom_site_fract_z
Ho1 0.000 0.219 0.250
Be1 0.000 0.476 0.250
Si1 0.000 0.125 0.750
Pt1 0.000 0.323 0.750
Pt2 0.222 0.000 0.000

***

Entry 8:
# LiCa2Mo | Alexandria | PBE-GGA | relaxed
# * Fermi-level density of states: 4.38 states/eV/f.u.
# * ΔH_f (0 K): 0.666 eV/atom
# * energy relative to the lowest polymorph listed for this composition: 9.7 kJ/mol of atoms
data_LiCa2Mo
_symmetry_space_group_name_H-M 'I m m 2'
_symmetry_Int_Tables_number 44
_symmetry_space_group_name_Hall 'I 2 -2'
_cell_length_a 3.622
_cell_length_b 5.279
_cell_length_c 10.857
_cell_angle_alpha 90.00
_cell_angle_beta 90.00
_cell_angle_gamma 90.00
loop_
_atom_site_label
_atom_site_fract_x
_atom_site_fract_y
_atom_site_fract_z
Li1 0.000 0.000 0.000
Ca1 0.000 0.000 0.446
Ca2 0.000 0.500 0.231
Mo1 0.000 0.500 0.697

***

Entry 9:
# NaNdHo2Tl4 | Alexandria | PBE-GGA | relaxed
# * Fermi-level density of states: 4.72 states/eV/f.u.
# * ΔH_f (0 K): -0.290 eV/atom
data_NaNdHo2Tl4
_symmetry_space_group_name_H-M 'R -3 m'
_symmetry_Int_Tables_number 166
_symmetry_space_group_name_Hall '-R 3 2"'
_cell_length_a 5.3497
_cell_length_b 5.3497
_cell_length_c 26.8032
_cell_angle_alpha 90.00
_cell_angle_beta 90.00
_cell_angle_gamma 120.00
loop_
_atom_site_label
_atom_site_fract_x
_atom_site_fract_y
_atom_site_fract_z
Na1 0.0000 0.0000 0.0000
Nd1 0.0000 0.0000 0.5000
Ho1 0.0000 0.0000 0.2538
Tl1 0.0000 0.0000 0.1228
Tl2 0.0000 0.0000 0.3734

***

Entry 10:
# KRb2HgCl6 | Alexandria | PBE-GGA | relaxed
# * Fermi-level density of states: 6.23 states/eV/f.u.
# * uncorrected formation energy: -1289 meV per atom
data_KRb2HgCl6
_symmetry_space_group_name_H-M 'P 1 21/c 1'
_symmetry_Int_Tables_number 14
_symmetry_space_group_name_Hall '-P 2ybc'
_cell_length_a 7.654
_cell_length_b 8.097
_cell_length_c 13.193
_cell_angle_alpha 90.00
_cell_angle_beta 124.75
_cell_angle_gamma 90.00
loop_
_atom_site_label
_atom_site_fract_x
_atom_site_fract_y
_atom_site_fract_z
K1 0.000 0.000 0.000
Rb1 0.223 0.069 0.748
Hg1 0.500 0.000 0.500
Cl1 0.175 0.181 0.455
Cl2 0.264 0.723 0.441
Cl3 0.377 0.036 0.274

***

Entry 11:
# La2Sc2Tl3 | Alexandria | PBE-GGA | relaxed
# * Fermi-level density of states: 7.07 states/eV/f.u.
# * ΔH_f (0 K): -0.248 eV/atom
data_La2Sc2Tl3
_symmetry_space_group_name_H-M 'C m m m'
_symmetry_Int_Tables_number 65
_symmetry_space_group_name_Hall '-C 2 2'
_cell_length_a 4.618
_cell_length_b 24.942
_cell_length_c 3.376
_cell_angle_alpha 90.00
_cell_angle_beta 90.00
_cell_angle_gamma 90.00
loop_
_atom_site_label
_atom_site_fract_x
_atom_site_fract_y
_atom_site_fract_z
La1 0.000 0.078 0.000
Sc1 0.000 0.209 0.000
Tl1 0.000 0.334 0.500
Tl2 0.000 0.500 0.500

***

Entry 12:
# ZrSbCI2 | Alexandria | PBE-GGA | relaxed
# * Fermi-level density of states: 3.81 states/eV/f.u.
# * uncorrected formation energy: 1061 meV per atom
# * energy relative to the lowest polymorph listed for this composition: 0.0 kJ/mol of atoms
data_ZrSbCI2
_symmetry_space_group_name_H-M 'P 4/m m m'
_symmetry_Int_Tables_number 123
_symmetry_space_group_name_Hall '-P 4 2'
_cell_length_a 4.886
_cell_length_b 4.886
_cell_length_c 4.862
_cell_angle_alpha 90.00
_cell_angle_beta 90.00
_cell_angle_gamma 90.00
loop_
_atom_site_label
_atom_site_fract_x
_atom_site_fract_y
_atom_site_fract_z
Zr1 0.000 0.000 0.000
Sb1 0.500 0.500 0.000
C1 0.500 0.500 0.500
I1 0.000 0.500 0.500